## LiNdGdMn (PBE)

Data for crystalline LiNdGdMn at its relaxed geometry.

a = 7.2868 Å, b = 7.2868 Å, c = 7.2868 Å
α = 90.00°, β = 90.00°, γ = 90.00°
Space group F-43m (No. 216)
Inequivalent atoms, fractional coordinates:
Li 0.0000 0.0000 0.0000 [4 per cell]
Nd 0.2500 0.2500 0.7500 [4 per cell]
Gd 0.2500 0.2500 0.2500 [4 per cell]
Mn 0.0000 0.0000 0.5000 [4 per cell]

=====

## LiGdPuMn (PBE)

Data for crystalline LiGdPuMn at its relaxed geometry.

a = 7.0365 Å, b = 7.0365 Å, c = 7.0365 Å
α = 90.00°, β = 90.00°, γ = 90.00°
Space group F-43m (No. 216)
Inequivalent atoms, fractional coordinates:
Li 0.0000 0.0000 0.0000 [4 per cell]
Gd 0.2500 0.2500 0.7500 [4 per cell]
Pu 0.2500 0.2500 0.2500 [4 per cell]
Mn 0.0000 0.0000 0.5000 [4 per cell]

=====

## LiGdMnRu (PBE)

Data for crystalline LiGdMnRu at its relaxed geometry.

a = 6.5692 Å, b = 6.5692 Å, c = 6.5692 Å
α = 90.00°, β = 90.00°, γ = 90.00°
Space group F-43m (No. 216)
Inequivalent atoms, fractional coordinates:
Li 0.0000 0.0000 0.0000 [4 per cell]
Gd 0.2500 0.2500 0.2500 [4 per cell]
Mn 0.2500 0.2500 0.7500 [4 per cell]
Ru 0.0000 0.0000 0.5000 [4 per cell]

=====

## LiTbGdMn (PBE)

Data for crystalline LiTbGdMn at its relaxed geometry.

a = 7.1441 Å, b = 7.1441 Å, c = 7.1441 Å
α = 90.00°, β = 90.00°, γ = 90.00°
Space group F-43m (No. 216)
Inequivalent atoms, fractional coordinates:
Li 0.0000 0.0000 0.0000 [4 per cell]
Tb 0.2500 0.2500 0.2500 [4 per cell]
Gd 0.2500 0.2500 0.7500 [4 per cell]
Mn 0.0000 0.0000 0.5000 [4 per cell]

=====

| no. | energy of formation (eV per atom) |
| --- | --- |
| 1 | 0.178 |
| 2 | 0.182 |
| 3 | 0.070 |
| 4 | 0.152 |